Material: AlHN2F
Method: DFT, PBE
State: optimized geometry

a b c (Å): 3.9452 3.9452 3.6618
angles (deg): 90.00 90.00 90.00
Fractional positions:
N 0.5000 0.0000 0.0000
N 0.0000 0.5000 0.0000
F 0.0000 0.0000 0.5000
Al 0.0000 0.0000 0.0000
H 0.5000 0.5000 0.5000

Properties
Space group: No. 123
Distance to the lowest polymorph of the same formula in meV per atom: 0
D(E_F) in states/eV/f.u.: 1.5
Raw total energy in eV per atom: -4.6571
Size of the total moment in μB/cell: 2.902

---

Material: AlHN2F
Method: DFT, PBE
State: optimized geometry

a b c (Å): 3.0549 3.0549 3.8921
angles (deg): 90.00 90.00 90.00
Fractional positions:
H 0.0000 0.0000 0.0000
Al 0.5000 0.5000 0.5000
N 0.0000 0.5000 0.0000
N 0.5000 0.0000 0.0000
F 0.0000 0.0000 0.5000

Properties
Space group: No. 123
Distance to the lowest polymorph of the same formula in meV per atom: 255
D(E_F) in states/eV/f.u.: 2.4
Raw total energy in eV per atom: -4.4019
Size of the total moment in μB/cell: 0.000

---

Material: AlHN2F
Method: DFT, PBE
State: optimized geometry

a b c (Å): 3.8567 3.4520 3.8567
angles (deg): 90.00 90.00 90.00
Fractional positions:
Al 0.0000 0.0000 0.0000
H 0.0000 0.5000 0.0000
N 0.0000 0.0000 0.5000
N 0.5000 0.0000 0.0000
F 0.5000 0.5000 0.5000

Properties
Space group: No. 123
Distance to the lowest polymorph of the same formula in meV per atom: 472
D(E_F) in states/eV/f.u.: 2.3
Raw total energy in eV per atom: -4.1854
Size of the total moment in μB/cell: 3.031